(1)
Density functional theory data (GGA-PBE) for an optimized crystal structure of In6GaBi2.

a b c (Å): 4.2316 15.4592 7.9172
angles (deg): 90.00 90.00 90.00
Closest atoms and distances in Å follow each position.
Space group Amm2 (No. 38)
Symmetry-distinct sites (fractional):
In 0.0000 0.0000 0.0000 (multiplicity 2)  2 Ga 3.01, 2 Bi 3.28, 2 In 3.29
In 0.0000 0.1128 0.5793 (multiplicity 4)  2 Ga 2.99, 2 Bi 3.17-3.28
In 0.5000 0.0000 0.3179 (multiplicity 2)  1 Ga 3.26, 6 In 3.29-3.44
In 0.5000 0.1825 0.8888 (multiplicity 4)  1 Ga 3.09, 4 Bi 3.27-3.29, 2 In 3.41
Ga 0.5000 0.0000 0.7296 (multiplicity 2)  9 In 2.99-3.26
Bi 0.0000 0.1848 0.2038 (multiplicity 4)  7 In 3.17-3.29

Spin magnetization   0.000 μB/atom
Excess energy over the best structure of this formula in the dataset   13.3 meV per atom
Energy   -2.971 eV per atom
DOS(E_F)   0.60 states/eV per atom
Calculated formation energy   54 meV/atom

(2)
Density functional theory data (GGA-PBE) for an optimized crystal structure of Re3HgBr.

a b c (Å): 4.5888 4.5888 4.5888
angles (deg): 90.00 90.00 90.00
Closest atoms and distances in Å follow each position.
Space group Pm-3m (No. 221)
Symmetry-distinct sites (fractional):
Re 0.0000 0.0000 0.5000 (multiplicity 3)  2 Br 2.29
Hg 0.5000 0.5000 0.5000 (multiplicity 1)  12 Re 3.24
Br 0.0000 0.0000 0.0000 (multiplicity 1)  6 Re 2.29

Formation energy without anion corrections   2.352 eV/atom
Spin magnetization   0.359 μB/atom
Excess energy over the best structure of this formula in the dataset   0.0 meV per atom
Energy   -5.512 eV per atom
DOS(E_F)   0.75 states/eV per atom

(3)
Density functional theory data (GGA-PBE) for an optimized crystal structure of CoCuAu2.

a b c (Å): 4.1208 4.1208 7.0336
angles (deg): 90.00 90.00 90.00
Closest atoms and distances in Å follow each position.
Space group I4/mmm (No. 139)
Symmetry-distinct sites (fractional):
Co 0.0000 0.0000 0.0000 (multiplicity 2)  8 Au 2.71, 4 Cu 2.91
Cu 0.0000 0.0000 0.5000 (multiplicity 2)  8 Au 2.71, 4 Co 2.91
Au 0.0000 0.5000 0.2500 (multiplicity 4)  4 Co 2.71, 4 Cu 2.71, 4 Au 2.91

Spin magnetization   0.418 μB/atom
Energy   -4.273 eV per atom
DOS(E_F)   1.37 states/eV per atom
Calculated formation energy   166 meV/atom

(4)
Density functional theory data (GGA-PBE) for an optimized crystal structure of Nd2AgSb3.

a b c (Å): 9.7663 9.7663 16.9024
angles (deg): 90.00 90.00 90.00
Closest atoms and distances in Å follow each position.
Space group P4/mmm (No. 123)
Symmetry-distinct sites (fractional):
Nd 0.0000 0.0000 0.1755 (multiplicity 2)  2 Sb 2.86-2.97
Ag 0.0000 0.0000 0.5000 (multiplicity 1)  2 Sb 2.63
Sb 0.0000 0.0000 0.0000 (multiplicity 1)  2 Nd 2.97
Sb 0.0000 0.0000 0.3444 (multiplicity 2)  1 Ag 2.63, 1 Nd 2.86

Formation energy without anion corrections   1.147 eV/atom
Spin magnetization   0.332 μB/atom
Energy   -2.978 eV per atom
DOS(E_F)   1.51 states/eV per atom

(5)
Density functional theory data (GGA-PBE) for an optimized crystal structure of In2Ag6Au3.

a b c (Å): 3.9339 3.9339 29.5738
angles (deg): 90.00 90.00 90.00
Closest atoms and distances in Å follow each position.
Space group I4/mmm (No. 139)
Symmetry-distinct sites (fractional):
In 0.0000 0.0000 0.1705 (multiplicity 4)  1 Ag 2.84, 4 Au 2.93
Ag 0.0000 0.0000 0.2664 (multiplicity 4)  1 Au 2.80, 1 In 2.84, 4 Ag 2.95
Ag 0.0000 0.5000 0.0679 (multiplicity 8)  4 Ag 2.78, 4 Au 2.81-2.88
Au 0.0000 0.0000 0.3610 (multiplicity 4)  5 Ag 2.80-2.88, 4 In 2.93
Au 0.0000 0.0000 0.5000 (multiplicity 2)  8 Ag 2.81

Spin magnetization   0.000 μB/atom
Excess energy over the best structure of this formula in the dataset   113.0 meV per atom
Energy   -2.911 eV per atom
DOS(E_F)   0.27 states/eV per atom
Calculated formation energy   35 meV/atom

(6)
Density functional theory data (GGA-PBE) for an optimized crystal structure of Zr2TiCoPb.

a b c (Å): 5.3498 5.3498 4.9824
angles (deg): 90.00 90.00 90.00
Closest atoms and distances in Å follow each position.
Space group P4/mmm (No. 123)
Symmetry-distinct sites (fractional):
Zr 0.0000 0.5000 0.0000 (multiplicity 2)  2 Pb 2.67
Ti 0.0000 0.0000 0.5000 (multiplicity 1)  2 Pb 2.49
Co 0.5000 0.5000 0.5000 (multiplicity 1)  8 Zr 3.66, 4 Ti 3.78
Pb 0.0000 0.0000 0.0000 (multiplicity 1)  2 Ti 2.49, 4 Zr 2.67

Spin magnetization   0.080 μB/atom
Energy   -5.436 eV per atom
DOS(E_F)   2.30 states/eV per atom
Calculated formation energy   1725 meV/atom

(7)
Density functional theory data (GGA-PBE) for an optimized crystal structure of MoRuW2.

a b c (Å): 2.7744 2.7744 28.3496
angles (deg): 90.00 90.00 120.00
Closest atoms and distances in Å follow each position.
Space group R3m (No. 160, hexagonal axes)
Symmetry-distinct sites (fractional):
Mo 0.0000 0.0000 0.0000 (multiplicity 3)  3 Ru 2.75, 6 Mo 2.77, 3 W 2.96
Ru 0.0000 0.0000 0.7453 (multiplicity 3)  3 Mo 2.75, 3 W 2.76, 6 Ru 2.77
W 0.0000 0.0000 0.2457 (multiplicity 3)  9 W 2.77-2.96, 3 Mo 2.96
W 0.0000 0.0000 0.4913 (multiplicity 3)  3 Ru 2.76, 9 W 2.77-2.96

Spin magnetization   0.001 μB/atom
Excess energy over the best structure of this formula in the dataset   174.8 meV per atom
Energy   -11.216 eV per atom
DOS(E_F)   1.21 states/eV per atom
Calculated formation energy   288 meV/atom

(8)
Density functional theory data (GGA-PBE) for an optimized crystal structure of Dy2ErP3.

a b c (Å): 7.9766 5.6462 11.9985
angles (deg): 90.00 90.00 90.00
Closest atoms and distances in Å follow each position.
Space group Pnma (No. 62)
Symmetry-distinct sites (fractional):
Dy 0.1254 0.2500 0.0832 (multiplicity 4)  6 P 2.82-2.83
Dy 0.1250 0.2500 0.7504 (multiplicity 4)  6 P 2.82-2.83
Er 0.1247 0.2500 0.4164 (multiplicity 4)  6 P 2.81-2.82
P 0.1237 0.7500 0.4172 (multiplicity 4)  3 Er 2.81-2.82, 3 Dy 2.82-2.83
P 0.1250 0.7500 0.7502 (multiplicity 4)  2 Er 2.82, 4 Dy 2.82-2.83
P 0.1263 0.7500 0.0826 (multiplicity 4)  1 Er 2.82, 5 Dy 2.82-2.83

Spin magnetization   0.000 μB/atom
Energy   -6.614 eV per atom
DOS(E_F)   0.10 states/eV per atom
Calculated formation energy   -1615 meV/atom

(9)
Density functional theory data (GGA-PBE) for an optimized crystal structure of Ho2Si3SnPt4.

a b c (Å): 4.1636 4.1636 10.6300
angles (deg): 90.00 90.00 90.00
Closest atoms and distances in Å follow each position.
Space group P-4m2 (No. 115)
Symmetry-distinct sites (fractional):
Ho 0.0000 0.5000 0.2329 (multiplicity 2)  6 Si 3.15-3.52, 8 Pt 3.18-3.23, 2 Sn 3.52
Si 0.0000 0.5000 0.8729 (multiplicity 2)  5 Pt 2.34-2.48
Si 0.5000 0.5000 0.5000 (multiplicity 1)  4 Pt 2.64, 4 Sn 2.94
Sn 0.0000 0.0000 0.5000 (multiplicity 1)  4 Pt 2.64, 4 Si 2.94
Pt 0.0000 0.0000 0.0000 (multiplicity 1)  4 Si 2.48
Pt 0.0000 0.5000 0.6530 (multiplicity 2)  1 Si 2.34
Pt 0.5000 0.5000 0.0000 (multiplicity 1)  4 Si 2.48

Formation energy without anion corrections   -0.973 eV/atom
Spin magnetization   0.000 μB/atom
Energy   -6.332 eV per atom
DOS(E_F)   0.55 states/eV per atom

(10)
Density functional theory data (GGA-PBE) for an optimized crystal structure of MgPb2IO8.

a b c (Å): 6.9537 7.0900 6.6481
angles (deg): 90.00 90.00 90.00
Closest atoms and distances in Å follow each position.
Space group Cmmm (No. 65)
Symmetry-distinct sites (fractional):
Mg 0.0000 0.0000 0.0000 (multiplicity 2)  6 O 2.05-2.24
Pb 0.0000 0.5000 0.2424 (multiplicity 4)  6 O 2.15-2.28
I 0.0000 0.0000 0.5000 (multiplicity 2)  6 O 1.96-2.00
O 0.0000 0.1802 0.2769 (multiplicity 8)  1 I 1.96
O 0.2053 0.5000 0.0000 (multiplicity 4)  1 Mg 2.05, 2 Pb 2.15
O 0.2118 0.5000 0.5000 (multiplicity 4)  1 I 2.00

Formation energy without anion corrections   -0.923 eV/atom
Spin magnetization   0.000 μB/atom
Energy   -5.109 eV per atom
DOS(E_F)   0.16 states/eV per atom

(11)
Density functional theory data (GGA-PBE) for an optimized crystal structure of LiY2BeIr.

a b c (Å): 5.0223 5.0223 3.8943
angles (deg): 90.00 90.00 90.00
Closest atoms and distances in Å follow each position.
Space group P4/mmm (No. 123)
Symmetry-distinct sites (fractional):
Li 0.0000 0.0000 0.0000 (multiplicity 1)  2 Be 1.95
Y 0.0000 0.5000 0.0000 (multiplicity 2)  2 Li 2.51
Be 0.0000 0.0000 0.5000 (multiplicity 1)  2 Li 1.95
Ir 0.5000 0.5000 0.5000 (multiplicity 1)  8 Y 3.18, 4 Be 3.55

Spin magnetization   0.000 μB/atom
Energy   -5.026 eV per atom
DOS(E_F)   0.46 states/eV per atom
Calculated formation energy   460 meV/atom

Question: What is the formula in the sixth record?
Answer: Zr2TiCoPb